[1]
# GGA-PBE PmSm8Ho5, relaxed
# ΔH_f (0 K)   0.24 eV/atom
# D(E_F)   21.1 states/eV/f.u.
# Magnetic moment   0.00 μB per formula unit
# ρ   7.6 g/cm³
data_PmSm8Ho5
_space_group_name_H-M_alt 'I -4'
_space_group_IT_number 82
_space_group_name_Hall 'I -4'
_cell_length_a 9.589
_cell_length_b 9.589
_cell_length_c 10.310
_cell_angle_alpha 90.00
_cell_angle_beta 90.00
_cell_angle_gamma 90.00
loop_
_atom_site_label
_atom_site_type_symbol
_atom_site_fract_x
_atom_site_fract_y
_atom_site_fract_z
Pm1 Pm 0.000 0.000 0.000
Sm1 Sm 0.070 0.175 0.650
Sm2 Sm 0.088 0.323 0.997
Ho1 Ho 0.000 0.500 0.750
Ho2 Ho 0.110 0.294 0.323

[2]
# GGA-PBE Pm2Sm8Ho3, relaxed
# ΔH_f (0 K)   0.21 eV/atom
# D(E_F)   16.0 states/eV/f.u.
# Magnetic moment   0.00 μB per formula unit
# ρ   7.3 g/cm³
data_Pm2Sm8Ho3
_space_group_name_H-M_alt 'C 1 2/m 1'
_space_group_IT_number 12
_space_group_name_Hall '-C 2y'
_cell_length_a 14.954
_cell_length_b 9.252
_cell_length_c 6.913
_cell_angle_alpha 90.00
_cell_angle_beta 108.42
_cell_angle_gamma 90.00
loop_
_atom_site_label
_atom_site_type_symbol
_atom_site_fract_x
_atom_site_fract_y
_atom_site_fract_z
Pm1 Pm 0.213 0.000 0.416
Sm1 Sm 0.084 0.500 0.722
Sm2 Sm 0.119 0.317 0.179
Sm3 Sm 0.188 0.000 0.884
Ho1 Ho 0.000 0.000 0.000
Ho2 Ho 0.000 0.171 0.500

[3]
# GGA-PBE PmSm2Ho7, relaxed
# ΔH_f (0 K)   0.69 eV/atom
# D(E_F)   13.5 states/eV/f.u.
# Magnetic moment   0.00 μB per formula unit
# ρ   6.9 g/cm³
data_PmSm2Ho7
_space_group_name_H-M_alt 'C m m m'
_space_group_IT_number 65
_space_group_name_Hall '-C 2 2'
_cell_length_a 8.586
_cell_length_b 17.630
_cell_length_c 5.069
_cell_angle_alpha 90.00
_cell_angle_beta 90.00
_cell_angle_gamma 90.00
loop_
_atom_site_label
_atom_site_type_symbol
_atom_site_fract_x
_atom_site_fract_y
_atom_site_fract_z
Pm1 Pm 0.000 0.000 0.000
Sm1 Sm 0.000 0.299 0.500
Ho1 Ho 0.000 0.195 0.000
Ho2 Ho 0.000 0.500 0.500
Ho3 Ho 0.181 0.107 0.500

[4]
# GGA-PBE Pm3Sm8Ho, relaxed
# ΔH_f (0 K)   0.30 eV/atom
# D(E_F)   15.3 states/eV/f.u.
# Magnetic moment   0.00 μB per formula unit
# ρ   6.9 g/cm³
data_Pm3Sm8Ho
_space_group_name_H-M_alt 'I m m m'
_space_group_IT_number 71
_space_group_name_Hall '-I 2 2'
_cell_length_a 6.605
_cell_length_b 11.370
_cell_length_c 11.595
_cell_angle_alpha 90.00
_cell_angle_beta 90.00
_cell_angle_gamma 90.00
loop_
_atom_site_label
_atom_site_type_symbol
_atom_site_fract_x
_atom_site_fract_y
_atom_site_fract_z
Pm1 Pm 0.000 0.000 0.000
Pm2 Pm 0.000 0.500 0.246
Sm1 Sm 0.000 0.165 0.251
Sm2 Sm 0.246 0.256 0.000
Ho1 Ho 0.000 0.000 0.500

[5]
# GGA-PBE PmSm2Ho, relaxed
# ΔH_f (0 K)   0.02 eV/atom
# D(E_F)   5.1 states/eV/f.u.
# Magnetic moment   0.00 μB per formula unit
# ρ   7.6 g/cm³
data_PmSm2Ho
_space_group_name_H-M_alt 'R -3 m'
_space_group_IT_number 166
_space_group_name_Hall '-R 3 2"'
_cell_length_a 3.6069
_cell_length_b 3.6069
_cell_length_c 35.3007
_cell_angle_alpha 90.00
_cell_angle_beta 90.00
_cell_angle_gamma 120.00
loop_
_atom_site_label
_atom_site_type_symbol
_atom_site_fract_x
_atom_site_fract_y
_atom_site_fract_z
Pm1 Pm 0.0000 0.0000 0.0000
Sm1 Sm 0.0000 0.0000 0.2488
Ho1 Ho 0.0000 0.0000 0.5000

[6]
# GGA-PBE PmSm3Ho2, relaxed
# ΔH_f (0 K)   0.01 eV/atom
# D(E_F)   8.1 states/eV/f.u.
# Magnetic moment   0.00 μB per formula unit
# ρ   7.8 g/cm³
data_PmSm3Ho2
_space_group_name_H-M_alt 'C 1 2/c 1'
_space_group_IT_number 15
_space_group_name_Hall '-C 2yc'
_cell_length_a 7.190
_cell_length_b 10.170
_cell_length_c 11.368
_cell_angle_alpha 90.00
_cell_angle_beta 108.39
_cell_angle_gamma 90.00
loop_
_atom_site_label
_atom_site_type_symbol
_atom_site_fract_x
_atom_site_fract_y
_atom_site_fract_z
Pm1 Pm 0.000 0.125 0.250
Sm1 Sm 0.000 0.375 0.750
Sm2 Sm 0.167 0.125 0.583
Ho1 Ho 0.166 0.375 0.083

[7]
# GGA-PBE Pm3Sm3Ho5, relaxed
# ΔH_f (0 K)   0.78 eV/atom
# D(E_F)   19.7 states/eV/f.u.
# Magnetic moment   0.00 μB per formula unit
# ρ   6.4 g/cm³
data_Pm3Sm3Ho5
_space_group_name_H-M_alt 'P -6 2 m'
_space_group_IT_number 189
_space_group_name_Hall 'P -6 -2'
_cell_length_a 9.6461
_cell_length_b 9.6461
_cell_length_c 5.5411
_cell_angle_alpha 90.00
_cell_angle_beta 90.00
_cell_angle_gamma 120.00
loop_
_atom_site_label
_atom_site_type_symbol
_atom_site_fract_x
_atom_site_fract_y
_atom_site_fract_z
Pm1 Pm 0.0000 0.3679 0.0000
Sm1 Sm 0.0000 0.5656 0.5000
Ho1 Ho 0.0000 0.7325 0.0000
Ho2 Ho 0.3333 0.6667 0.0000

[8]
# GGA-PBE PmSm4Ho, relaxed
# ΔH_f (0 K)   0.02 eV/atom
# D(E_F)   8.2 states/eV/f.u.
# Magnetic moment   0.00 μB per formula unit
# ρ   7.5 g/cm³
data_PmSm4Ho
_space_group_name_H-M_alt 'C m m m'
_space_group_IT_number 65
_space_group_name_Hall '-C 2 2'
_cell_length_a 5.120
_cell_length_b 15.341
_cell_length_c 5.105
_cell_angle_alpha 90.00
_cell_angle_beta 90.00
_cell_angle_gamma 90.00
loop_
_atom_site_label
_atom_site_type_symbol
_atom_site_fract_x
_atom_site_fract_y
_atom_site_fract_z
Pm1 Pm 0.000 0.000 0.000
Sm1 Sm 0.000 0.166 0.500
Sm2 Sm 0.000 0.334 0.000
Ho1 Ho 0.000 0.500 0.500

[9]
# GGA-PBE Pm5Sm4Ho3, relaxed
# ΔH_f (0 K)   0.21 eV/atom
# D(E_F)   16.0 states/eV/f.u.
# Magnetic moment   0.25 μB per formula unit
# ρ   7.4 g/cm³
data_Pm5Sm4Ho3
_space_group_name_H-M_alt 'C 1 2/m 1'
_space_group_IT_number 12
_space_group_name_Hall '-C 2y'
_cell_length_a 11.440
_cell_length_b 5.508
_cell_length_c 13.407
_cell_angle_alpha 90.00
_cell_angle_beta 105.78
_cell_angle_gamma 90.00
loop_
_atom_site_label
_atom_site_type_symbol
_atom_site_fract_x
_atom_site_fract_y
_atom_site_fract_z
Pm1 Pm 0.000 0.000 0.000
Pm2 Pm 0.139 0.000 0.465
Pm3 Pm 0.169 0.500 0.265
Sm1 Sm 0.091 0.500 0.629
Sm2 Sm 0.230 0.500 0.895
Ho1 Ho 0.000 0.500 0.000
Ho2 Ho 0.043 0.000 0.782

[10]
# GGA-PBE PmSm2Ho, relaxed
# ΔH_f (0 K)   0.14 eV/atom
# D(E_F)   10.6 states/eV/f.u.
# Magnetic moment   0.01 μB per formula unit
# ρ   7.6 g/cm³
data_PmSm2Ho
_space_group_name_H-M_alt 'F m -3 m'
_space_group_IT_number 225
_space_group_name_Hall '-F 4 2 3'
_cell_length_a 8.124
_cell_length_b 8.124
_cell_length_c 8.124
_cell_angle_alpha 90.00
_cell_angle_beta 90.00
_cell_angle_gamma 90.00
loop_
_atom_site_label
_atom_site_type_symbol
_atom_site_fract_x
_atom_site_fract_y
_atom_site_fract_z
Pm1 Pm 0.000 0.000 0.000
Sm1 Sm 0.250 0.250 0.250
Ho1 Ho 0.000 0.000 0.500

[11]
# GGA-PBE Pm4Sm5Ho3, relaxed
# ΔH_f (0 K)   0.01 eV/atom
# D(E_F)   15.7 states/eV/f.u.
# Magnetic moment   0.00 μB per formula unit
# ρ   7.6 g/cm³
data_Pm4Sm5Ho3
_space_group_name_H-M_alt 'P -1'
_space_group_IT_number 2
_space_group_name_Hall '-P 1'
_cell_length_a 6.250
_cell_length_b 7.212
_cell_length_c 8.840
_cell_angle_alpha 90.03
_cell_angle_beta 90.09
_cell_angle_gamma 90.16
loop_
_atom_site_label
_atom_site_type_symbol
_atom_site_fract_x
_atom_site_fract_y
_atom_site_fract_z
Pm1 Pm 0.165 0.249 0.167
Pm2 Pm 0.334 0.500 0.833
Sm1 Sm 0.000 0.500 0.500
Sm2 Sm 0.332 0.000 0.833
Sm3 Sm 0.498 0.751 0.500
Ho1 Ho 0.000 0.000 0.500
Ho2 Ho 0.167 0.751 0.168

[12]
# GGA-PBE Pm8SmHo4, relaxed
# ΔH_f (0 K)   0.22 eV/atom
# D(E_F)   17.8 states/eV/f.u.
# Magnetic moment   0.00 μB per formula unit
# ρ   7.4 g/cm³
data_Pm8SmHo4
_space_group_name_H-M_alt 'P -1'
_space_group_IT_number 2
_space_group_name_Hall '-P 1'
_cell_length_a 6.523
_cell_length_b 7.442
_cell_length_c 10.160
_cell_angle_alpha 91.50
_cell_angle_beta 95.54
_cell_angle_gamma 115.37
loop_
_atom_site_label
_atom_site_type_symbol
_atom_site_fract_x
_atom_site_fract_y
_atom_site_fract_z
Pm1 Pm 0.124 0.172 0.173
Pm2 Pm 0.246 0.776 0.291
Pm3 Pm 0.340 0.338 0.830
Pm4 Pm 0.340 0.783 0.711
Sm1 Sm 0.000 0.500 0.500
Ho1 Ho 0.000 0.000 0.500
Ho2 Ho 0.000 0.500 0.000
Ho3 Ho 0.500 0.000 0.000
Ho4 Ho 0.500 0.500 0.500